Entry 1:
{
  "formula": "Ho2Tl3GeTe6",
  "functional": "PBE-GGA",
  "state": "optimized geometry",
  "formation_energy_uncorrected_ev_per_atom": -0.724,
  "dos_at_fermi_per_ev_cell": 6.80,
  "density_g_cm3": 7.339,
  "lattice_angstrom": [[-1.014, 2.860, -3.147], [-8.932, -3.190, -0.020], [1.115, 6.217, 8.326]],
  "species": ["Ho", "Ho", "Tl", "Tl", "Tl", "Ge", "Te", "Te", "Te", "Te", "Te", "Te"],
  "fractional_positions": [[0.834, 0.665, 0.668], [0.166, 0.335, 0.332], [0.500, 0.500, 0.000], [0.832, 0.159, 0.664], [0.168, 0.841, 0.336], [0.500, 0.000, 0.000], [0.344, 0.896, 0.688], [0.675, 0.568, 0.350], [0.656, 0.104, 0.312], [0.008, 0.226, 0.016], [0.992, 0.774, 0.984], [0.325, 0.432, 0.650]]
}

Entry 2:
{
  "formula": "SrCdRu2",
  "functional": "PBE-GGA",
  "state": "optimized geometry",
  "e_form_mev_per_atom": 622,
  "dos_at_fermi_per_ev_cell": 5.49,
  "density_g_cm3": 7.957,
  "lattice_angstrom": [[-2.352, -3.915, 1.515], [2.435, -1.597, -0.349], [2.301, 0.745, 5.499]],
  "species": ["Cd", "Ru", "Ru", "Sr"],
  "fractional_positions": [[0.500, 0.750, 0.750], [0.000, 0.964, 0.931], [0.000, 0.536, 0.569], [0.500, 0.250, 0.250]]
}

Entry 3:
{
  "formula": "U6Cr",
  "functional": "PBE-GGA",
  "state": "optimized geometry",
  "e_form_mev_per_atom": 1286,
  "dos_at_fermi_per_ev_cell": 21.84,
  "density_g_cm3": 13.696,
  "lattice_angstrom": [[-3.242, -2.662, 4.504], [-3.098, -0.449, -5.299], [5.439, -2.825, -0.558]],
  "species": ["U", "U", "U", "U", "U", "U", "Cr"],
  "fractional_positions": [[0.250, 0.750, 0.500], [0.500, 0.750, 0.250], [0.250, 0.500, 0.750], [0.750, 0.250, 0.500], [0.500, 0.250, 0.750], [0.750, 0.500, 0.250], [0.000, 0.000, 0.000]]
}

Entry 4:
{
  "formula": "SrLiSn3",
  "functional": "PBE-GGA",
  "state": "optimized geometry",
  "e_form_mev_per_atom": 684,
  "dos_at_fermi_per_ev_cell": 6.00,
  "density_g_cm3": 3.367,
  "lattice_angstrom": [[6.057, 0.000, 0.000], [0.000, 6.057, 0.000], [0.000, 0.000, 6.057]],
  "species": ["Sr", "Sn", "Sn", "Sn", "Li"],
  "fractional_positions": [[0.000, 0.000, 0.000], [0.000, 0.500, 0.000], [0.000, 0.000, 0.500], [0.500, 0.000, 0.000], [0.500, 0.500, 0.500]]
}

Entry 5:
{
  "formula": "Te3As2",
  "functional": "PBE-GGA",
  "state": "optimized geometry",
  "formation_energy_uncorrected_ev_per_atom": 0.080,
  "dos_at_fermi_per_ev_cell": 0.13,
  "density_g_cm3": 5.784,
  "lattice_angstrom": [[9.049, -0.013, 0.011], [4.361, 5.860, 0.051], [4.688, -1.154, 5.759]],
  "species": ["As", "As", "As", "As", "Te", "Te", "Te", "Te", "Te", "Te"],
  "fractional_positions": [[0.352, 0.758, 0.403], [0.487, 0.403, 0.758], [0.492, 0.898, 0.763], [0.847, 0.763, 0.898], [0.737, 0.565, 0.369], [0.329, 0.369, 0.565], [0.685, 0.513, 0.921], [0.881, 0.921, 0.513], [0.095, 0.905, 0.905], [0.345, 0.155, 0.155]]
}

Entry 6:
{
  "formula": "Ba2Bi2Ir",
  "functional": "PBE-GGA",
  "state": "optimized geometry",
  "e_form_mev_per_atom": -3,
  "dos_at_fermi_per_ev_cell": 7.39,
  "density_g_cm3": 7.224,
  "lattice_angstrom": [[6.950, 0.000, 0.000], [0.000, 6.950, 0.000], [3.475, 3.475, 4.210]],
  "species": ["Ir", "Bi", "Bi", "Ba", "Ba"],
  "fractional_positions": [[0.000, 0.000, 0.000], [0.313, 0.313, 0.374], [0.687, 0.687, 0.626], [0.750, 0.250, 0.500], [0.250, 0.750, 0.500]]
}